First-principles (PBEsol) data for MnP2Br after structural relaxation, as listed in the Alexandria database.

Output
Space-group type: Pm, No. 6
Raw formation energy: 0.05 eV/atom
Final energy: -5.751 eV per atom

Cell and atoms, written as extended XYZ:
```
4
Lattice="3.632 0.000 0.000 0.000 3.597 0.000 -0.161 0.000 5.605" Properties=species:S:1:pos:R:3 pbc="T T T"
Mn 0.000 0.000 0.000
P 1.716 0.000 1.394
P 3.085 1.798 1.071
Br 0.220 1.798 3.919
```

---

First-principles (PBEsol) data for KNaSCl2 after structural relaxation, as listed in the Alexandria database.

Output
Space-group type: P4/mmm, No. 123
Raw formation energy: -0.45 eV/atom
Final energy: -2.635 eV per atom

Cell and atoms, written as extended XYZ:
```
5
Lattice="5.742 0.000 0.000 0.000 5.742 0.000 0.000 0.000 5.617" Properties=species:S:1:pos:R:3 pbc="T T T"
K 0.000 0.000 0.000
Na 2.871 2.871 2.809
S 0.000 0.000 2.809
Cl 0.000 2.871 0.000
Cl 2.871 0.000 0.000
```

---

First-principles (PBEsol) data for SnPtSCl2 after structural relaxation, as listed in the Alexandria database.

Output
Space-group type: P4/mmm, No. 123
Raw formation energy: -0.17 eV/atom
Final energy: -4.099 eV per atom

Cell and atoms, written as extended XYZ:
```
5
Lattice="4.732 0.000 0.000 0.000 4.732 0.000 0.000 0.000 4.818" Properties=species:S:1:pos:R:3 pbc="T T T"
Sn 0.000 0.000 0.000
Pt 2.366 2.366 2.409
S 2.366 2.366 0.000
Cl 0.000 2.366 2.409
Cl 2.366 0.000 2.409
```

---

First-principles (PBEsol) data for LaY2Ni after structural relaxation, as listed in the Alexandria database.

Output
Space-group type: R3m, No. 160
ΔE_f: -0.051 eV per atom
Final energy: -6.338 eV per atom

Cell and atoms, written as extended XYZ:
```
4
Lattice="1.844 1.064 9.274 -1.844 1.064 9.274 0.000 -2.129 9.274" Properties=species:S:1:pos:R:3 pbc="T T T"
La 0.000 0.000 0.000
Y 0.000 0.000 6.323
Y 0.000 0.000 12.690
Ni 0.000 0.000 20.268
```

---

First-principles (PBEsol) data for CuPt2Rh after structural relaxation, as listed in the Alexandria database.

Output
Space-group type: Pmm2, No. 25
ΔE_f: -0.010 eV per atom
Final energy: -6.610 eV per atom

Cell and atoms, written as extended XYZ:
```
4
Lattice="2.722 0.000 0.000 0.000 3.792 0.000 0.000 0.000 5.363" Properties=species:S:1:pos:R:3 pbc="T T T"
Cu 0.000 0.000 0.000
Pt 0.000 0.000 2.731
Pt 1.361 1.896 1.282
Rh 1.361 1.896 4.027
```

---

First-principles (PBEsol) data for Y2Al2Ga after structural relaxation, as listed in the Alexandria database.

Output
Space-group type: P4/mbm, No. 127
ΔE_f: -0.499 eV per atom
Final energy: -5.533 eV per atom

Cell and atoms, written as extended XYZ:
```
10
Lattice="6.888 0.000 0.000 0.000 6.888 0.000 0.000 0.000 4.575" Properties=species:S:1:pos:R:3 pbc="T T T"
Y 1.170 2.274 0.000
Y 2.274 5.718 0.000
Y 4.614 1.170 0.000
Y 5.718 4.614 0.000
Al 0.921 4.365 2.288
Al 2.523 0.921 2.288
Al 4.365 5.967 2.288
Al 5.967 2.523 2.288
Ga 0.000 0.000 2.288
Ga 3.444 3.444 2.288
```

---

First-principles (PBEsol) data for SnH3W after structural relaxation, as listed in the Alexandria database.

Output
Space-group type: Pm-3m, No. 221
Final energy: -5.100 eV per atom

Cell and atoms, written as extended XYZ:
```
5
Lattice="3.639 0.000 0.000 0.000 3.639 0.000 0.000 0.000 3.639" Properties=species:S:1:pos:R:3 pbc="T T T"
Sn 0.000 0.000 0.000
H 0.000 1.820 1.820
H 1.820 0.000 1.820
H 1.820 1.820 0.000
W 1.820 1.820 1.820
```

---

First-principles (PBEsol) data for CsGa2Pb2 after structural relaxation, as listed in the Alexandria database.

Output
Space-group type: I4/mmm, No. 139
ΔE_f: -0.056 eV per atom
Final energy: -3.180 eV per atom

Cell and atoms, written as extended XYZ:
```
5
Lattice="-2.556 2.556 5.837 2.556 -2.556 5.837 2.556 2.556 -5.837" Properties=species:S:1:pos:R:3 pbc="T T T"
Cs 0.000 0.000 0.000
Ga 2.556 0.000 2.919
Ga 0.000 2.556 2.919
Pb 0.000 0.000 4.280
Pb 0.000 0.000 7.394
```

---

- Number 6 is which compound?
  Y2Al2Ga

---

- The lowest final energy belongs to which entry?
  CuPt2Rh